No. 1
The following is a DFT calculation (GGA-PBE) of Nb11Ni4Ir9 after structural relaxation.

Calculated values
Size of the total moment (μB per formula unit): 0.000
Raw total energy (eV per atom): -9.328

CIF file:
```
data_Nb11Ni4Ir9
_chemical_formula_sum 'Nb22 Ni8 Ir18'
_symmetry_space_group_name_H-M 'C m m m'
_symmetry_Int_Tables_number 65
_symmetry_space_group_name_Hall '-C 2 2'
_cell_length_a 12.563
_cell_length_b 20.254
_cell_length_c 2.933
_cell_angle_alpha 90.00
_cell_angle_beta 90.00
_cell_angle_gamma 90.00
loop_
_atom_site_label
_atom_site_fract_x
_atom_site_fract_y
_atom_site_fract_z
_atom_site_occupancy
Nb1 0.000 0.000 0.000 1
Nb2 0.000 0.172 0.000 1
Nb3 0.000 0.372 0.000 1
Nb4 0.208 0.500 0.000 1
Nb5 0.219 0.176 0.000 1
Ni1 0.157 0.403 0.500 1
Ir1 0.000 0.500 0.500 1
Ir2 0.112 0.274 0.500 1
Ir3 0.134 0.074 0.500 1
```



No. 2
The following is a DFT calculation (GGA-PBE) of Nb5Ni2Ir5 after structural relaxation.

Calculated values
Size of the total moment (μB per formula unit): 0.000
Raw total energy (eV per atom): -8.748

CIF file:
```
data_Nb5Ni2Ir5
_chemical_formula_sum 'Nb10 Ni4 Ir10'
_symmetry_space_group_name_H-M 'I 4 m m'
_symmetry_Int_Tables_number 107
_symmetry_space_group_name_Hall 'I 4 -2'
_cell_length_a 7.438
_cell_length_b 7.438
_cell_length_c 7.648
_cell_angle_alpha 90.00
_cell_angle_beta 90.00
_cell_angle_gamma 90.00
loop_
_atom_site_label
_atom_site_fract_x
_atom_site_fract_y
_atom_site_fract_z
_atom_site_occupancy
Nb1 0.000 0.000 0.000 1
Nb2 0.213 0.213 0.509 1
Ni1 0.000 0.500 0.040 1
Ir1 0.000 0.000 0.335 1
Ir2 0.000 0.280 0.791 1
```



No. 3
The following is a DFT calculation (GGA-PBE) of Nb2Ni6Ir after structural relaxation.

Calculated values
Size of the total moment (μB per formula unit): 0.000
Raw total energy (eV per atom): -7.206

CIF file:
```
data_Nb2Ni6Ir
_chemical_formula_sum 'Nb2 Ni6 Ir1'
_symmetry_space_group_name_H-M 'P 6/m m m'
_symmetry_Int_Tables_number 191
_symmetry_space_group_name_Hall '-P 6 2'
_cell_length_a 7.1508
_cell_length_b 7.1508
_cell_length_c 2.6012
_cell_angle_alpha 90.00
_cell_angle_beta 90.00
_cell_angle_gamma 120.00
loop_
_atom_site_label
_atom_site_fract_x
_atom_site_fract_y
_atom_site_fract_z
_atom_site_occupancy
Nb1 0.3333 0.6667 0.0000 1
Ni1 0.0000 0.3303 0.5000 1
Ir1 0.0000 0.0000 0.0000 1
```



No. 4
The following is a DFT calculation (GGA-PBE) of NbNiIr after structural relaxation.

Calculated values
Size of the total moment (μB per formula unit): 0.000
Raw total energy (eV per atom): -8.604

CIF file:
```
data_NbNiIr
_chemical_formula_sum 'Nb4 Ni4 Ir4'
_symmetry_space_group_name_H-M 'C 1 c 1'
_symmetry_Int_Tables_number 9
_cell_length_a 4.778
_cell_length_b 9.197
_cell_length_c 4.634
_cell_angle_alpha 90.00
_cell_angle_beta 119.78
_cell_angle_gamma 90.00
loop_
_symmetry_equiv_pos_as_xyz
'x,y,z'
'x,-y,z+1/2'
'x+1/2,y+1/2,z'
'x+1/2,-y+1/2,z+1/2'
loop_
_atom_site_label
_atom_site_fract_x
_atom_site_fract_y
_atom_site_fract_z
_atom_site_occupancy
Nb1 0.000 0.127 0.000 1
Ni1 0.318 0.144 0.673 1
Ir1 0.142 0.393 0.828 1
```